Crystalline CoSbPO2 at its relaxed geometry. Source: Alexandria via LeMat-Bulk, functional PBE with a Hubbard U.

Values from the calculation:
The calculation puts the polymorph energy (0 for the lowest one) at 18 kJ/mol of formula units.

Geometry as CIF:
```
data_CoSbPO2
_cell_length_a 3.8335
_cell_length_b 3.8335
_cell_length_c 4.5838
_cell_angle_alpha 90.00
_cell_angle_beta 90.00
_cell_angle_gamma 90.00
_symmetry_space_group_name_H-M 'P 4/m m m'
_symmetry_Int_Tables_number 123
_symmetry_space_group_name_Hall '-P 4 2'
loop_
_atom_site_label
_atom_site_type_symbol
_atom_site_fract_x
_atom_site_fract_y
_atom_site_fract_z
_atom_site_occupancy
Co1 Co 0.0000 0.0000 0.0000 1
Sb1 Sb 0.5000 0.5000 0.5000 1
P1 P 0.0000 0.0000 0.5000 1
O1 O 0.0000 0.5000 0.0000 1
```